(1)
# SrCdAs

A geometry-optimized SrCdAs structure (PBE, OQMD).

Calculated values
VASP energy ... -2.650 eV/atom

a b c (Å): 7.266 7.266 7.266
angles (deg): 90.00 90.00 90.00
Space group F-43m (No. 216)
Symmetry-distinct sites (fractional):
1 Sr 0.000 0.000 0.000 (multiplicity 4)
2 Cd 0.250 0.250 0.250 (multiplicity 4)
3 As 0.250 0.250 0.750 (multiplicity 4)

***

(2)
# Tl2OsF6

A geometry-optimized Tl2OsF6 structure (PBE, OQMD).

Calculated values
Size of the total moment ... 8.001 Bohr magnetons per cell
VASP energy ... -4.722 eV/atom

a b c (Å): 8.242 8.242 8.242
angles (deg): 90.00 90.00 90.00
Space group Fm-3m (No. 225)
Symmetry-distinct sites (fractional):
1 Tl 0.250 0.250 0.250 (multiplicity 8)
2 Os 0.000 0.000 0.000 (multiplicity 4)
3 F 0.000 0.000 0.239 (multiplicity 24)

***

(3)
# Cs2LaTbS4

A geometry-optimized Cs2LaTbS4 structure (PBE, OQMD).

Calculated values
Size of the total moment ... 0.002 Bohr magnetons per cell
VASP energy ... -5.323 eV/atom

a b c (Å): 4.2235 4.2235 16.1173
angles (deg): 90.00 90.00 120.00
Space group P-3m1 (No. 164)
Symmetry-distinct sites (fractional):
1 Cs 0.3333 0.6667 0.2468 (multiplicity 2)
2 La 0.0000 0.0000 0.5000 (multiplicity 1)
3 Tb 0.0000 0.0000 0.0000 (multiplicity 1)
4 S 0.3333 0.6667 0.5975 (multiplicity 2)
5 S 0.3333 0.6667 0.9115 (multiplicity 2)

***

(4)
# NaLuO2

A geometry-optimized NaLuO2 structure (PBE, OQMD).

Calculated values
Size of the total moment ... 0.000 Bohr magnetons per cell
VASP energy ... -6.806 eV/atom

a b c (Å): 4.497 4.497 9.918
angles (deg): 90.00 90.00 90.00
Space group I4_1/amd (No. 141, origin choice 2)
Symmetry-distinct sites (fractional):
1 Na 0.000 0.250 0.375 (multiplicity 4)
2 Lu 0.000 0.250 0.875 (multiplicity 4)
3 O 0.000 0.250 0.098 (multiplicity 8)

***

(5)
# K3Cd4Pt4

A geometry-optimized K3Cd4Pt4 structure (PBE, OQMD).

Calculated values
Size of the total moment ... 0.008 Bohr magnetons per cell
VASP energy ... -3.085 eV/atom

a b c (Å): 8.371 8.371 8.371
angles (deg): 90.00 90.00 90.00
Space group I-43m (No. 217)
Symmetry-distinct sites (fractional):
1 K 0.000 0.000 0.500 (multiplicity 6)
2 Cd 0.200 0.200 0.800 (multiplicity 8)
3 Pt 0.117 0.117 0.117 (multiplicity 8)

***

(6)
# SmLuAu

A geometry-optimized SmLuAu structure (PBE, OQMD).

Calculated values
Size of the total moment ... 0.168 Bohr magnetons per cell
VASP energy ... -4.089 eV/atom
E_form ... 0.078 eV/atom

a b c (Å): 6.842 6.842 6.842
angles (deg): 90.00 90.00 90.00
Space group F-43m (No. 216)
Symmetry-distinct sites (fractional):
1 Sm 0.000 0.000 0.000 (multiplicity 4)
2 Lu 0.250 0.250 0.750 (multiplicity 4)
3 Au 0.000 0.000 0.500 (multiplicity 4)

***

(7)
# Ga4NiPd3

A geometry-optimized Ga4NiPd3 structure (PBE, OQMD).

Calculated values
Size of the total moment ... 0.016 Bohr magnetons per cell
VASP energy ... -4.730 eV/atom

a b c (Å): 6.9524 6.9524 8.4134
angles (deg): 90.00 90.00 120.00
Space group R3 (No. 146, hexagonal axes)
Symmetry-distinct sites (fractional):
1 Ga 0.0000 0.0000 0.0000 (multiplicity 3)
2 Ga 0.1033 0.7138 0.1983 (multiplicity 9)
3 Ni 0.0000 0.0000 0.2916 (multiplicity 3)
4 Pd 0.0222 0.2613 0.7698 (multiplicity 9)

***

(8)
# LiHfHg

A geometry-optimized LiHfHg structure (PBE, OQMD).

Calculated values
Size of the total moment ... 0.095 Bohr magnetons per cell
VASP energy ... -3.996 eV/atom

a b c (Å): 3.154 3.154 11.572
angles (deg): 90.00 90.00 90.00
Space group P4/mmm (No. 123)
Symmetry-distinct sites (fractional):
1 Li 0.000 0.000 0.138 (multiplicity 2)
2 Hf 0.500 0.500 0.320 (multiplicity 2)
3 Hg 0.000 0.000 0.500 (multiplicity 1)
4 Hg 0.500 0.500 0.000 (multiplicity 1)

***

(9)
# NdAlGaBOs2

A geometry-optimized NdAlGaBOs2 structure (PBE, OQMD).

Calculated values
Size of the total moment ... 0.003 Bohr magnetons per cell
VASP energy ... -7.275 eV/atom

a b c (Å): 4.223 4.223 5.557
angles (deg): 90.00 90.00 90.00
Space group P4mm (No. 99)
Symmetry-distinct sites (fractional):
1 Nd 0.000 0.000 0.000 (multiplicity 1)
2 Al 0.500 0.500 0.762 (multiplicity 1)
3 Ga 0.500 0.500 0.225 (multiplicity 1)
4 B 0.000 0.000 0.498 (multiplicity 1)
5 Os 0.000 0.500 0.503 (multiplicity 2)

***

(10)
# Nd3Y2Er

A geometry-optimized Nd3Y2Er structure (PBE, OQMD).

Calculated values
Size of the total moment ... 0.006 Bohr magnetons per cell
VASP energy ... -5.301 eV/atom
E_form ... -0.004 eV/atom

a b c (Å): 10.883 6.281 11.638
angles (deg): 90.00 90.00 90.00
Space group Cmcm (No. 63)
Symmetry-distinct sites (fractional):
1 Nd 0.000 0.000 0.000 (multiplicity 4)
2 Nd 0.165 0.500 0.000 (multiplicity 8)
3 Y 0.167 0.166 0.250 (multiplicity 8)
4 Er 0.000 0.334 0.750 (multiplicity 4)

***

(11)
# ZrNbSnC

A geometry-optimized ZrNbSnC structure (PBE, OQMD).

Calculated values
Size of the total moment ... 0.022 Bohr magnetons per cell
VASP energy ... -8.558 eV/atom

a b c (Å): 3.2937 3.2937 14.4754
angles (deg): 90.00 90.00 120.00
Space group P6_3mc (No. 186)
Symmetry-distinct sites (fractional):
1 Zr 0.3333 0.6667 0.0000 (multiplicity 2)
2 Nb 0.3333 0.6667 0.3295 (multiplicity 2)
3 Sn 0.3333 0.6667 0.6697 (multiplicity 2)
4 C 0.0000 0.0000 0.4105 (multiplicity 2)

***

(12)
# AlCoRePt

A geometry-optimized AlCoRePt structure (PBE, OQMD).

Calculated values
Size of the total moment ... 0.480 Bohr magnetons per cell
VASP energy ... -7.346 eV/atom

a b c (Å): 6.050 6.050 6.050
angles (deg): 90.00 90.00 90.00
Space group F-43m (No. 216)
Symmetry-distinct sites (fractional):
1 Al 0.000 0.000 0.000 (multiplicity 4)
2 Co 0.250 0.250 0.250 (multiplicity 4)
3 Re 0.250 0.250 0.750 (multiplicity 4)
4 Pt 0.000 0.000 0.500 (multiplicity 4)